VASP calculation (PBE) on an optimized crystal structure of MgPa2Os.

a = 3.820 Å, b = 3.820 Å, c = 8.719 Å
α = 77.35°, β = 77.35°, γ = 60.00°
Positions (direct):
Mg: 0.500 0.500 0.500
Pa: 0.269 0.269 0.194
Pa: 0.731 0.731 0.806
Os: 0.000 0.000 0.000

Values from the calculation:
Distance to the lowest polymorph of the same formula   112 meV/atom
Symmetry   R-3m, No. 166

***

VASP calculation (PBE) on an optimized crystal structure of MgPaOs.

a = 5.168 Å, b = 5.441 Å, c = 8.727 Å
α = 90.00°, β = 90.00°, γ = 90.00°
Positions (direct):
Mg: 0.500 0.256 0.757
Mg: 0.000 0.756 0.243
Mg: 0.500 0.744 0.757
Mg: 0.000 0.244 0.243
Pa: 0.000 0.500 0.574
Pa: 0.000 0.000 0.907
Pa: 0.500 0.000 0.426
Pa: 0.500 0.500 0.093
Os: 0.000 0.000 0.555
Os: 0.000 0.500 0.906
Os: 0.500 0.000 0.094
Os: 0.500 0.500 0.445

Values from the calculation:
Distance to the lowest polymorph of the same formula   40 meV/atom
Symmetry   Pmmn, No. 59

***

VASP calculation (PBE) on an optimized crystal structure of PmMgPaOs.

a = 5.048 Å, b = 5.048 Å, c = 5.048 Å
α = 60.00°, β = 60.00°, γ = 60.00°
Positions (direct):
Mg: 0.250 0.250 0.250
Pa: 0.000 0.000 0.000
Os: 0.750 0.750 0.750
Pm: 0.500 0.500 0.500

Values from the calculation:
Symmetry   F-43m, No. 216

***

no.,volume (Å³/atom),M_tot (μB/f.u.),energy relative to the elements (eV/atom)
1,26.6,0.00,0.138
2,20.4,0.00,-0.181
3,22.7,0.00,0.117